(1)
Density functional theory data (PBE) for crystalline Li2AcTmTl4 at its relaxed geometry.

Lattice parameters (Å, degrees): 4.988 4.988 10.385 76.11 76.11 60.00
Atoms (fractional coordinates):
Tl 0.122 0.122 0.635
Tl 0.605 0.605 0.185
Li 0.235 0.235 0.295
Ac 0.000 0.000 0.000
Tm 0.500 0.500 0.500
Tl 0.878 0.878 0.365
Tl 0.395 0.395 0.815
Li 0.765 0.765 0.705

**Spin magnetization**: 0.00 μB/cell
**E_tot**: -3.043 eV/atom

(2)
Density functional theory data (PBE) for crystalline Li2AcY2Tl2 at its relaxed geometry.

Lattice parameters (Å, degrees): 4.940 4.940 9.805 75.41 75.41 60.00
Atoms (fractional coordinates):
Li 0.417 0.417 0.749
Tl 0.747 0.747 0.760
Ac 0.000 0.000 0.000
Li 0.583 0.583 0.251
Tl 0.253 0.253 0.240
Y 0.131 0.131 0.608
Y 0.869 0.869 0.392

**Spin magnetization**: 0.00 μB/cell
**E_tot**: -3.870 eV/atom

(3)
Density functional theory data (PBE) for crystalline Li2Ac3Y2Tl4 at its relaxed geometry.

Lattice parameters (Å, degrees): 5.183 5.183 15.345 90.00 90.00 120.00
Atoms (fractional coordinates):
Li 0.667 0.333 0.866
Ac 0.000 0.000 0.000
Li 0.333 0.667 0.134
Y 0.667 0.333 0.427
Ac 0.000 0.000 0.747
Ac 0.000 0.000 0.253
Tl 0.667 0.333 0.128
Y 0.333 0.667 0.573
Tl 0.333 0.667 0.872
Tl 0.333 0.667 0.366
Tl 0.667 0.333 0.634

**Spin magnetization**: 0.00 μB/cell
**E_tot**: -3.705 eV/atom

(4)
Density functional theory data (PBE) for crystalline LiAcYTl at its relaxed geometry.

Lattice parameters (Å, degrees): 5.563 5.563 5.563 60.00 60.00 60.00
Atoms (fractional coordinates):
Y 0.750 0.750 0.750
Tl 0.500 0.500 0.500
Li 0.000 0.000 0.000
Ac 0.250 0.250 0.250

**Spin magnetization**: 0.00 μB/cell
**E_tot**: -3.879 eV/atom

(5)
Density functional theory data (PBE) for crystalline Li2AcYTl4 at its relaxed geometry.

Lattice parameters (Å, degrees): 4.965 4.965 10.569 76.42 76.42 60.00
Atoms (fractional coordinates):
Li 0.763 0.763 0.710
Tl 0.880 0.880 0.359
Tl 0.120 0.120 0.641
Y 0.500 0.500 0.500
Li 0.237 0.237 0.290
Tl 0.395 0.395 0.816
Tl 0.605 0.605 0.184
Ac 0.000 0.000 0.000

**Spin magnetization**: 0.00 μB/cell
**E_tot**: -3.309 eV/atom

(6)
Density functional theory data (PBE) for crystalline Li2Ac3Tl4Zn2 at its relaxed geometry.

Lattice parameters (Å, degrees): 4.780 4.780 16.751 90.00 90.00 120.00
Atoms (fractional coordinates):
Li 0.333 0.667 0.554
Zn 0.333 0.667 0.150
Li 0.667 0.333 0.446
Tl 0.667 0.333 0.619
Ac 0.000 0.000 0.262
Ac 0.000 0.000 0.000
Tl 0.667 0.333 0.123
Ac 0.000 0.000 0.738
Tl 0.333 0.667 0.877
Zn 0.667 0.333 0.850
Tl 0.333 0.667 0.381

**Spin magnetization**: 0.00 μB/cell
**E_tot**: -2.762 eV/atom

(7)
Density functional theory data (PBE) for crystalline LiAcTlZn at its relaxed geometry.

Lattice parameters (Å, degrees): 5.353 5.353 5.353 60.00 60.00 60.00
Atoms (fractional coordinates):
Ac 0.750 0.750 0.750
Li 0.250 0.250 0.250
Zn 0.000 0.000 0.000
Tl 0.500 0.500 0.500

**Spin magnetization**: 0.00 μB/cell
**E_tot**: -2.638 eV/atom

(8)
Density functional theory data (PBE) for crystalline LiAcTm2 at its relaxed geometry.

Lattice parameters (Å, degrees): 3.612 3.612 11.530 80.99 80.99 60.00
Atoms (fractional coordinates):
Ac 0.500 0.500 0.499
Tm 0.257 0.257 0.229
Li 0.666 0.666 0.001
Tm 0.076 0.076 0.771

**Relative energy among the computed polymorphs**: 90.6 meV/atom
**Spin magnetization**: 0.00 μB/cell
**E_tot**: -3.528 eV/atom

(9)
Density functional theory data (PBE) for crystalline LiAcTm2 at its relaxed geometry.

Lattice parameters (Å, degrees): 3.771 3.771 8.641 90.00 90.00 90.00
Atoms (fractional coordinates):
Ac 0.500 0.500 0.500
Tm 0.000 0.000 0.204
Tm 0.000 0.000 0.796
Li 0.500 0.500 0.000

**Relative energy among the computed polymorphs**: 0.0 meV/atom
**Spin magnetization**: 0.00 μB/cell
**E_tot**: -3.618 eV/atom

(10)
Density functional theory data (PBE) for crystalline LiAcTm2 at its relaxed geometry.

Lattice parameters (Å, degrees): 5.448 4.839 4.839 90.00 90.00 90.00
Atoms (fractional coordinates):
Tm 0.000 0.000 0.500
Tm 0.000 0.500 0.000
Li 0.500 0.500 0.500
Ac 0.500 0.000 0.000

**Relative energy among the computed polymorphs**: 81.0 meV/atom
**Spin magnetization**: 0.28 μB/cell
**E_tot**: -3.537 eV/atom

(11)
Density functional theory data (PBE) for crystalline Li2AcTm at its relaxed geometry.

Lattice parameters (Å, degrees): 3.843 3.843 7.752 90.00 90.00 90.00
Atoms (fractional coordinates):
Li 0.000 0.000 0.226
Li 0.000 0.000 0.774
Tm 0.500 0.500 0.000
Ac 0.500 0.500 0.500

**Relative energy among the computed polymorphs**: 0.0 meV/atom
**Spin magnetization**: 0.00 μB/cell
**E_tot**: -2.953 eV/atom

(12)
Density functional theory data (PBE) for crystalline LiAcTm2 at its relaxed geometry.

Lattice parameters (Å, degrees): 3.581 3.581 12.423 81.71 81.71 60.00
Atoms (fractional coordinates):
Tm 0.087 0.087 0.739
Tm 0.913 0.913 0.261
Ac 0.500 0.500 0.500
Li 0.000 0.000 0.000

**Relative energy among the computed polymorphs**: 165.8 meV/atom
**Spin magnetization**: 0.00 μB/cell
**E_tot**: -3.453 eV/atom